# 1
Here is a relaxed NbPPd3 crystal from Alexandria. Energies are from PBE-GGA.

Cell and atoms, written as POSCAR:
```
NbPPd3
1.0
4.478 0.000 0.000
0.000 4.478 0.000
0.000 0.000 4.478
Pd P Nb
3 1 1
direct
0.500 0.000 0.000
0.000 0.000 0.500
0.000 0.500 0.000
0.000 0.000 0.000
0.500 0.500 0.500
```

Summary:
spin magnetization	2.252	μB/cell
E_form	0.161	eV per atom


# 2
Here is a relaxed NbP2Pd2 crystal from Alexandria. Energies are from PBE-GGA.

Cell and atoms, written as POSCAR:
```
NbP2Pd2
1.0
6.936 0.000 0.000
0.000 6.936 0.000
0.000 0.000 3.142
Pd P Nb
4 4 2
direct
0.644 0.856 0.500
0.356 0.144 0.500
0.856 0.356 0.500
0.144 0.644 0.500
0.661 0.161 0.000
0.839 0.661 0.000
0.161 0.339 0.000
0.339 0.839 0.000
0.000 0.000 0.000
0.500 0.500 0.000
```

Summary:
spin magnetization	0.000	μB/cell
E_form	-0.344	eV per atom


# 3
Here is a relaxed Nb5P4Pd4 crystal from Alexandria. Energies are from PBE-GGA.

Cell and atoms, written as POSCAR:
```
Nb5P4Pd4
1.0
-1.187 2.218 -7.178
-2.403 -2.648 6.712
0.664 7.132 2.557
Pd Nb P
4 5 4
direct
0.884 0.405 0.289
0.595 0.884 0.479
0.116 0.595 0.711
0.405 0.116 0.521
0.377 0.688 0.065
0.312 0.377 0.690
0.623 0.312 0.935
0.688 0.623 0.310
0.000 0.000 0.000
0.941 0.757 0.698
0.059 0.243 0.302
0.757 0.059 0.816
0.243 0.941 0.184
```

Summary:
spin magnetization	0.000	μB/cell
E_form	-0.750	eV per atom


# 4
Here is a relaxed NbPPd3 crystal from Alexandria. Energies are from PBE-GGA.

Cell and atoms, written as POSCAR:
```
NbPPd3
1.0
4.821 0.000 0.000
0.000 4.821 0.000
0.000 0.000 4.821
P Nb Pd
1 1 3
direct
0.500 0.500 0.500
0.000 0.000 0.000
0.000 0.500 0.000
0.000 0.000 0.500
0.500 0.000 0.000
```

Summary:
spin magnetization	0.000	μB/cell
E_form	1.232	eV per atom


# 5
Here is a relaxed Nb2P2Pd crystal from Alexandria. Energies are from PBE-GGA.

Cell and atoms, written as POSCAR:
```
Nb2P2Pd
1.0
-0.741 3.556 -2.200
-4.159 -0.395 0.763
-1.964 4.143 3.259
Pd Nb P
1 2 2
direct
0.000 0.000 0.000
0.750 0.250 0.500
0.250 0.750 0.500
0.387 0.387 0.225
0.613 0.613 0.775
```

Summary:
spin magnetization	0.000	μB/cell
E_form	-0.416	eV per atom


# 6
Here is a relaxed Nb2P2Pd crystal from Alexandria. Energies are from PBE-GGA.

Cell and atoms, written as POSCAR:
```
Nb2P2Pd
1.0
-4.411 -2.947 4.330
3.360 -5.934 -0.616
1.926 0.828 2.526
Nb P Pd
4 4 2
direct
0.149 0.649 0.500
0.649 0.851 0.500
0.851 0.351 0.500
0.351 0.149 0.500
0.646 0.146 0.000
0.354 0.854 0.000
0.146 0.354 0.000
0.854 0.646 0.000
0.500 0.500 0.000
0.000 0.000 0.000
```

Summary:
spin magnetization	0.000	μB/cell
E_form	-0.679	eV per atom


# 7
Here is a relaxed NbPPdRu2 crystal from Alexandria. Energies are from PBE-GGA.

Cell and atoms, written as POSCAR:
```
NbPPdRu2
1.0
-2.817 3.583 1.313
-0.697 -2.091 4.211
3.752 2.303 1.765
Ru Pd Nb P
2 1 1 1
direct
0.000 0.000 0.500
0.500 0.000 0.000
0.000 0.000 0.000
0.000 0.500 0.000
0.500 0.500 0.500
```

Summary:
spin magnetization	2.466	μB/cell
E_form	1.873	eV per atom


# 8
Here is a relaxed NbPPdRu2 crystal from Alexandria. Energies are from PBE-GGA.

Cell and atoms, written as POSCAR:
```
NbPPdRu2
1.0
4.347 0.000 0.000
0.000 4.437 0.000
0.000 0.000 4.347
Pd P Ru Nb
1 1 2 1
direct
0.000 0.500 0.000
0.000 0.000 0.000
0.000 0.000 0.500
0.500 0.000 0.000
0.500 0.500 0.500
```

Summary:
spin magnetization	1.431	μB/cell
E_form	0.281	eV per atom


# 9
Here is a relaxed NbPPdS2 crystal from Alexandria. Energies are from PBE-GGA.

Cell and atoms, written as POSCAR:
```
NbPPdS2
1.0
4.735 0.000 0.000
0.000 4.735 0.000
0.000 0.000 4.886
Pd Nb P S
1 1 1 2
direct
0.500 0.500 0.500
0.000 0.000 0.000
0.000 0.000 0.500
0.000 0.500 0.000
0.500 0.000 0.000
```

Summary:
spin magnetization	0.000	μB/cell
ΔE_f (raw)	0.27	eV/atom


# 10
Here is a relaxed NbP2PdS crystal from Alexandria. Energies are from PBE-GGA.

Cell and atoms, written as POSCAR:
```
NbP2PdS
1.0
4.827 0.000 0.000
0.000 4.827 0.000
0.000 0.000 4.691
S P Pd Nb
1 2 1 1
direct
0.000 0.000 0.500
0.000 0.500 0.000
0.500 0.000 0.000
0.500 0.500 0.500
0.000 0.000 0.000
```

Summary:
spin magnetization	0.000	μB/cell
ΔE_f (raw)	0.44	eV/atom


# 11
Here is a relaxed NbP2PdS crystal from Alexandria. Energies are from PBE-GGA.

Cell and atoms, written as POSCAR:
```
NbP2PdS
1.0
4.567 0.000 0.000
0.000 4.567 0.000
0.000 0.000 4.604
S P Nb Pd
1 2 1 1
direct
0.000 0.000 0.500
0.500 0.000 0.000
0.000 0.500 0.000
0.500 0.500 0.500
0.000 0.000 0.000
```

Summary:
spin magnetization	0.000	μB/cell
ΔE_f (raw)	0.81	eV/atom


# 12
Here is a relaxed NbPPdS2 crystal from Alexandria. Energies are from PBE-GGA.

Cell and atoms, written as POSCAR:
```
NbPPdS2
1.0
-0.887 -0.248 -4.494
1.330 -4.391 -0.020
-4.296 -1.305 0.920
Pd S Nb P
1 2 1 1
direct
0.000 0.000 0.000
0.500 0.000 0.000
0.000 0.500 0.000
0.500 0.500 0.500
0.000 0.000 0.500
```

Summary:
spin magnetization	0.001	μB/cell
ΔE_f (raw)	0.73	eV/atom